# 1
DFT (PBE-GGA) results for a relaxed SrMg2Ta crystal.

a b c (Å): 5.0050 3.0850 6.6277
angles (deg): 77.29 90.00 90.00
With the nearest neighbours (Å) after each atom.
Atoms (fractional coordinates):
Mg (0.0000, 0.1925, 0.9724)  4 Mg 2.97-3.09, 1 Sr 3.09, 4 Ta 3.10-3.13
Mg (0.5000, 0.0846, 0.2189)  4 Mg 2.97-3.09, 2 Ta 3.04
Sr (0.0000, 0.4470, 0.4941)  2 Sr 3.09, 5 Mg 3.09-3.45
Ta (0.5000, 0.7759, 0.8146)  6 Mg 3.04-3.13, 2 Ta 3.09

Summary:
- Volume: 99.8 Å³/cell
- Calculated formation energy: 0.57 eV per atom
- Excess energy over the best structure of this formula in the dataset: 180 meV/atom
- M_tot: 0.202 μB/atom
- Total energy: -14.44 eV for the cell shown


# 2
DFT (PBE-GGA) results for a relaxed SrMgTa3 crystal.

a b c (Å): 4.9868 4.9868 4.9868
angles (deg): 90.00 90.00 90.00
With the nearest neighbours (Å) after each atom.
Atoms (fractional coordinates):
Sr (0.5000, 0.5000, 0.5000)  12 Ta 3.53
Mg (0.0000, 0.0000, 0.0000)  6 Ta 2.49
Ta (0.0000, 0.5000, 0.0000)  2 Mg 2.49
Ta (0.0000, 0.0000, 0.5000)  2 Mg 2.49
Ta (0.5000, 0.0000, 0.0000)  2 Mg 2.49

Summary:
- Volume: 124.0 Å³/cell
- Calculated formation energy: 1.85 eV per atom
- Excess energy over the best structure of this formula in the dataset: 0 meV/atom
- M_tot: 0.000 μB/atom
- Total energy: -29.56 eV for the cell shown


# 3
DFT (PBE-GGA) results for a relaxed SrMg2Ta crystal.

a b c (Å): 6.6242 6.6242 6.6242
angles (deg): 151.97 129.81 58.47
With the nearest neighbours (Å) after each atom.
Atoms (fractional coordinates):
Mg (0.0318, 0.0318, 0.0000)  2 Ta 2.99, 6 Mg 3.21-3.32
Mg (0.4682, 0.4682, 0.0000)  2 Ta 2.99, 6 Mg 3.21-3.32
Sr (0.7500, 0.2500, 0.5000)  2 Sr 3.21, 4 Ta 3.24
Ta (0.2500, 0.7500, 0.5000)  4 Mg 2.99, 2 Ta 3.21, 4 Sr 3.24

Summary:
- Volume: 104.2 Å³/cell
- Calculated formation energy: 0.66 eV per atom
- Excess energy over the best structure of this formula in the dataset: 266 meV/atom
- M_tot: 0.137 μB/atom
- Total energy: -14.10 eV for the cell shown